No. 1
This record from Alexandria via LeMat-Bulk describes LiY2Mo after structural relaxation. The functional is GGA-PBEsol.

a b c (Å): 3.7349 3.7349 6.2964
angles (deg): 90.00 90.00 90.00
Fractional positions:
Mo 0.5000 0.5000 0.7616
Li 0.0000 0.0000 0.5207
Y 0.0000 0.0000 0.9424
Y 0.5000 0.5000 0.2753

Output
- ΔE_f: 524 meV/atom
- E: -6.321 eV per atom
- Energy above the most stable polymorph in this dataset: 88 meV per atom



No. 2
This record from Alexandria via LeMat-Bulk describes TmNiC2 after structural relaxation. The functional is GGA-PBEsol.

a b c (Å): 3.6930 3.6930 3.4516
angles (deg): 90.00 90.00 105.64
Fractional positions:
C 0.8518 0.4569 0.5000
C 0.5431 0.1482 0.5000
Tm 0.9968 0.0032 0.0000
Ni 0.3863 0.6137 0.5000

Output
- ΔE_f: -421 meV/atom
- E: -8.007 eV per atom



No. 3
This record from Alexandria via LeMat-Bulk describes Sc2ReRh after structural relaxation. The functional is GGA-PBEsol.

a b c (Å): 3.4071 3.4071 5.9317
angles (deg): 90.00 90.00 90.00
Fractional positions:
Rh 0.5000 0.5000 0.7598
Re 0.0000 0.0000 0.4919
Sc 0.0000 0.0000 0.9590
Sc 0.5000 0.5000 0.2893

Output
- ΔE_f: 32 meV/atom
- E: -8.638 eV per atom



No. 4
This record from Alexandria via LeMat-Bulk describes RbTlO3 after structural relaxation. The functional is GGA-PBEsol.

a b c (Å): 4.4767 4.4767 4.4767
angles (deg): 90.00 90.00 90.00
Fractional positions:
O 0.0000 0.5000 0.0000
O 0.5000 0.0000 0.0000
O 0.0000 0.0000 0.5000
Tl 0.5000 0.5000 0.5000
Rb 0.0000 0.0000 0.0000

Output
- E: -3.132 eV per atom



No. 5
This record from Alexandria via LeMat-Bulk describes Mn3SbAs after structural relaxation. The functional is GGA-PBEsol.

a b c (Å): 4.4762 4.4762 4.4762
angles (deg): 90.00 90.00 90.00
Fractional positions:
As 0.0000 0.0000 0.0000
Mn 0.0000 0.5000 0.0000
Mn 0.0000 0.0000 0.5000
Mn 0.5000 0.0000 0.0000
Sb 0.5000 0.5000 0.5000

Output
- E: -7.182 eV per atom



No. 6
This record from Alexandria via LeMat-Bulk describes MgZrAgMo2 after structural relaxation. The functional is GGA-PBEsol.

a b c (Å): 4.8188 4.8188 4.9683
angles (deg): 90.00 90.00 90.00
Fractional positions:
Mg 0.5000 0.5000 0.5000
Mo 0.0000 0.5000 0.0000
Mo 0.5000 0.0000 0.0000
Ag 0.0000 0.0000 0.0000
Zr 0.0000 0.0000 0.5000

Output
- ΔE_f: 1805 meV/atom
- E: -5.726 eV per atom



No. 7
This record from Alexandria via LeMat-Bulk describes Al2In3 after structural relaxation. The functional is GGA-PBEsol.

a b c (Å): 4.8108 4.8108 5.8405
angles (deg): 90.00 90.00 120.00
Fractional positions:
In 0.6667 0.3333 0.6381
In 0.3333 0.6667 0.3619
In 0.0000 0.0000 0.0000
Al 0.6667 0.3333 0.1453
Al 0.3333 0.6667 0.8547

Output
- ΔE_f: 172 meV/atom
- E: -3.254 eV per atom



No. 8
This record from Alexandria via LeMat-Bulk describes RbHf2HI after structural relaxation. The functional is GGA-PBEsol.

a b c (Å): 5.2292 5.2292 6.9514
angles (deg): 90.00 90.00 90.00
Fractional positions:
I 0.0000 0.0000 0.0000
H 0.5000 0.5000 0.5000
Hf 0.0000 0.5000 0.0000
Hf 0.5000 0.0000 0.0000
Rb 0.0000 0.0000 0.5000

Output
- E: -3.865 eV per atom



Table of D(E_F) (states/eV/f.u.), in record order: 4.027, 0.988, 4.942, 4.642, 5.128, 8.194, 2.424, 6.182